[1]
# Sm2Y6Th

A geometry-optimized Sm2Y6Th structure (GGA-PBE, Alexandria).

Final energy: -6.12 eV/atom
Space group: No. 187
E above lowest polymorph: 0 meV/atom

abc: 3.606 3.606 26.473
angles: 90.00 90.00 120.00
Positions (direct):
Y 0.667 0.333 0.109
Y 0.667 0.333 0.891
Y 0.333 0.667 0.783
Y 0.333 0.667 0.217
Y 0.333 0.667 0.564
Y 0.333 0.667 0.436
Sm 0.667 0.333 0.671
Sm 0.667 0.333 0.329
Th 0.333 0.667 0.000

---

[2]
# SmY3Th2

A geometry-optimized SmY3Th2 structure (GGA-PBE, Alexandria).

Final energy: -6.31 eV/atom
Space group: No. 63
E above lowest polymorph: 93 meV/atom

abc: 6.557 9.409 9.409
angles: 136.63 90.00 90.00
Positions (direct):
Y 0.750 0.072 0.425
Y 0.750 0.147 0.853
Y 0.250 0.853 0.147
Y 0.250 0.425 0.072
Y 0.750 0.575 0.928
Y 0.250 0.928 0.575
Th 0.500 0.752 0.752
Th 0.000 0.248 0.248
Th 0.500 0.248 0.248
Th 0.000 0.752 0.752
Sm 0.750 0.647 0.353
Sm 0.250 0.353 0.647

---

[3]
# Sm4Y3Th2

A geometry-optimized Sm4Y3Th2 structure (GGA-PBE, Alexandria).

Final energy: -5.82 eV/atom
Space group: No. 156
E above lowest polymorph: 0 meV/atom

abc: 3.590 3.590 26.893
angles: 90.00 90.00 120.00
Positions (direct):
Sm 0.000 0.000 0.762
Sm 0.000 0.000 0.544
Sm 0.667 0.333 0.217
Sm 0.667 0.333 0.433
Th 0.667 0.333 0.872
Th 0.667 0.333 0.090
Y 0.000 0.000 0.982
Y 0.000 0.000 0.324
Y 0.667 0.333 0.652

---

[4]
# Sm5Y2Th2

A geometry-optimized Sm5Y2Th2 structure (GGA-PBE, Alexandria).

Final energy: -5.42 eV/atom
Space group: No. 12

abc: 3.499 7.986 13.161
angles: 118.20 97.64 90.00
Positions (direct):
Sm 0.307 0.167 0.613
Sm 0.000 0.000 0.000
Sm 0.089 0.447 0.178
Sm 0.693 0.833 0.387
Sm 0.911 0.553 0.822
Th 0.446 0.250 0.892
Th 0.554 0.750 0.108
Y 0.829 0.815 0.658
Y 0.171 0.185 0.342

---

> final energy of number 1 (Sm2Y6Th)?

-6.12 eV/atom

---

> The highest final energy belongs to which entry?

Sm5Y2Th2

---

> The lowest final energy belongs to which entry?

SmY3Th2

---

> Among the records above, which one has the highest final energy?

Sm5Y2Th2